Computed, not measured: Ba2CuTc after structural relaxation at the PBE level of DFT.

Output
Final energy = -0.272 Ry per atom
Calculated formation energy = 0.873 eV/atom
Energy relative to the lowest polymorph listed for this composition = 461 meV/atom

Cell: 6.2490 6.2490 6.2490 Å, 135.99 135.99 64.00°
Positions (direct):
Ba  0.0000  0.0000  0.0000
Ba  0.7500  0.2500  0.5000
Cu  0.2500  0.7500  0.5000
Tc  0.5000  0.5000  0.0000